1.
A PBEsol-optimized structure of HfTiH2, computed with SCAN.

abc: 4.337 4.337 9.348
angles: 90.00 90.00 90.00
Space group I-42d (No. 122)
Asymmetric unit:
Hf (0.000, 0.000, 0.000) [4 per cell]
Ti (0.000, 0.000, 0.500) [4 per cell]
H (0.228, 0.250, 0.625) [8 per cell]

Calculated values
Volume in A^3/atom: 10.990
Calculated total energy in eV/atom: -21.746
DOS(E_F) in states/eV/cell: 10.817

=====

2.
A PBEsol-optimized structure of MgMoIr2, computed with SCAN.

abc: 2.846 2.846 7.299
angles: 90.00 90.00 90.00
Space group P4/mmm (No. 123)
Asymmetric unit:
Mg (0.000, 0.000, 0.000) [1 per cell]
Mo (0.000, 0.000, 0.500) [1 per cell]
Ir (0.500, 0.500, 0.258) [2 per cell]

Calculated values
Volume in A^3/atom: 14.774
Energy of formation from the pure elements in meV per atom: -455
DOS(E_F) in states/eV/cell: 1.722

=====

3.
A PBEsol-optimized structure of PbSO4, computed with SCAN.

abc: 14.097 5.214 4.691
angles: 90.00 90.00 90.00
Space group Pnma (No. 62)
Asymmetric unit:
Pb (0.099, 0.250, 0.208) [4 per cell]
S (0.135, 0.750, 0.662) [4 per cell]
O (0.081, 0.517, 0.759) [8 per cell]
O (0.135, 0.750, 0.346) [4 per cell]
O (0.231, 0.750, 0.783) [4 per cell]

Calculated values
Volume in A^3/atom: 14.366
Raw formation energy in eV/atom: -1.60
DOS(E_F) in states/eV/cell: 0.000